Arrangement a

8
Lattice="4.0886 0.0000 0.0000 0.0000 4.0886 0.0000 0.0000 0.0000 9.7428" Properties=species:S:1:pos:R:3 comment="PBE-GGA PmAl2Cu, relaxed" density_g_cm3=5.35 pbc="T T T"
Al 0.0000 0.0000 4.8714
Al 2.0443 2.0443 4.8714
Cu 0.0000 2.0443 3.3083
Pm 0.0000 2.0443 7.3544
Cu 2.0443 0.0000 6.4345
Al 0.0000 2.0443 0.6882
Pm 2.0443 0.0000 2.3883
Al 2.0443 0.0000 9.0546

=====

Arrangement b

4
Lattice="-2.3252 0.3405 3.7290 -0.0534 -4.2182 0.3519 3.5959 0.1404 2.2294" Properties=species:S:1:pos:R:3 comment="PBE-GGA PmAl2Cu, relaxed" density_g_cm3=5.52 pbc="T T T"
Al -0.0267 -2.1091 0.1759
Al 1.7979 0.0702 1.1147
Pm 0.6086 -1.8686 3.1551
Cu -1.1626 0.1703 1.8645

=====

Arrangement c

8
Lattice="-3.3086 -0.6282 -2.4620 4.8446 -2.0445 -2.4711 -1.0592 -6.1164 2.9841" Properties=species:S:1:pos:R:3 comment="PBE-GGA PmAl2Cu, relaxed" density_g_cm3=5.59 pbc="T T T"
Al 1.1761 -7.3848 0.2919
Pm 0.8959 -3.9228 -3.7483
Al -0.6993 -1.4044 -2.2409
Pm -0.4191 -4.8663 1.7993
Al 1.5876 -5.0082 -0.8676
Cu -0.6401 -6.2411 -1.0969
Al -1.1108 -3.7809 -1.0814
Cu 1.1169 -2.5481 -0.8521

=====

The structure with the least stability is arrangement b.

=====

Arrangement a

11
Lattice="6.5915 0.0000 0.0000 -2.1972 6.2145 0.0000 -2.1972 -3.1073 5.3819" Properties=species:S:1:pos:R:3 comment="PBE-GGA Pm3Al4Cu4, relaxed" density_g_cm3=6.00 pbc="T T T"
Al -0.5888 -0.8326 1.4422
Cu -1.3780 3.8976 0.0000
Al 1.7663 0.0000 0.0000
Cu 0.8191 1.1584 2.0065
Al 1.6084 2.2746 3.9397
Pm 2.1972 3.1073 0.0000
Cu -1.3780 -1.9488 3.3754
Pm 2.1972 -1.5536 2.6910
Al -0.5888 1.6653 0.0000
Pm -2.1972 1.5536 2.6910
Cu 4.1340 0.0000 0.0000

=====

Arrangement b

11
Lattice="-4.1350 1.1873 -0.3718 -1.1000 -3.0239 2.5623 -1.2530 6.8527 10.8593" Properties=species:S:1:pos:R:3 comment="PBE-GGA Pm3Al4Cu4, relaxed" density_g_cm3=5.94 pbc="T T T"
Al -2.4721 -0.1003 2.1220
Pm -3.7388 5.0709 7.6881
Cu -2.0770 3.7861 10.1906
Cu -1.9394 2.9428 5.9575
Pm -2.7491 -0.0550 5.3618
Al -4.0158 5.1163 10.9278
Al -2.3488 2.2499 8.2635
Cu -4.5486 2.0731 7.0925
Al -4.1391 2.7660 4.7864
Pm -5.3880 8.0399 10.4875
Cu -4.4110 1.2299 2.8592

=====

The structure with the least stability is arrangement a.

=====

Arrangement a

11
Lattice="-1.3589 3.0186 3.9345 2.0597 -4.7817 4.3799 8.3798 3.7206 -3.3201" Properties=species:S:1:pos:R:3 comment="PBE-GGA Pm8Al2Cu, relaxed" density_g_cm3=6.63 pbc="T T T"
Pm 3.6837 -1.5392 5.8130
Al 4.3904 -1.6235 2.7619
Pm 1.7206 0.2736 3.7442
Pm 5.2585 1.2094 4.2481
Pm 5.3970 3.4966 -0.8186
Pm 7.2009 5.4842 1.6394
Cu -0.6794 1.5093 1.9673
Pm 7.3601 1.6838 1.2502
Pm 1.8798 -3.5268 3.3550
Pm 3.8222 0.7480 0.7463
Al 4.6902 3.5809 2.2325

=====

Arrangement b

11
Lattice="5.1219 0.0000 -1.5588 -1.0500 6.0744 -3.4500 0.0427 1.2012 9.3344" Properties=species:S:1:pos:R:3 comment="PBE-GGA Pm8Al2Cu, relaxed" density_g_cm3=6.76 pbc="T T T"
Pm 4.3843 5.7155 5.2115
Pm 2.3426 5.5984 -1.4971
Pm 3.2937 5.6018 1.6281
Pm 0.8210 1.6737 2.6975
Al 3.8717 2.6726 3.5273
Pm 2.8375 2.7353 0.1293
Pm 1.2771 4.5403 4.1963
Pm -0.2696 1.5601 -0.8860
Cu 2.5610 0.0000 -0.7794
Al 0.2430 4.6030 0.7983
Pm 1.7721 1.6772 5.8226

=====

The structure with the least stability is arrangement b.

=====

Arrangement a

12
Lattice="3.8936 0.0000 0.0000 0.0000 7.0315 0.0000 0.0000 0.0000 7.2400" Properties=species:S:1:pos:R:3 comment="PBE-GGA PmAlCu4, relaxed" density_g_cm3=7.14 pbc="T T T"
Cu 1.9468 6.8731 5.4300
Cu 1.9468 2.2568 6.7777
Pm 0.0000 2.5547 1.8100
Pm 0.0000 4.4768 5.4300
Cu 0.0000 0.0000 3.6200
Al 0.0000 5.5195 1.8100
Cu 0.0000 0.0000 0.0000
Cu 1.9468 4.7746 0.4622
Cu 1.9468 4.7746 3.1578
Cu 1.9468 0.1584 1.8100
Cu 1.9468 2.2568 4.0822
Al 0.0000 1.5119 5.4300

=====

Arrangement b

6
Lattice="-2.6370 -3.5904 -2.4812 2.3829 -3.1270 -3.2472 0.6365 -4.9156 1.1970" Properties=species:S:1:pos:R:3 comment="PBE-GGA PmAlCu4, relaxed" density_g_cm3=7.55 pbc="T T T"
Cu 1.5717 -5.4718 -1.5845
Cu -0.9644 -5.7059 -1.1975
Cu -0.0820 -4.8023 -3.4428
Al 0.0000 0.0000 0.0000
Pm 0.0956 -2.9082 -1.1328
Cu 0.2395 -7.2857 -2.8380

=====

The structure with the least stability is arrangement a.

=====

Arrangement a

24
Lattice="6.0149 0.0000 2.7692 3.0075 7.1890 1.3846 0.0011 0.0000 7.9147" Properties=species:S:1:pos:R:3 comment="PBE-GGA PmAl2Cu9, relaxed" density_g_cm3=7.48 pbc="T T T"
Al 6.0157 1.7972 8.7052
Cu 0.0000 0.0000 0.0000
Cu 3.8613 2.9826 8.3514
Pm 3.0080 3.5945 5.3419
Pm 3.0075 0.0000 1.3846
Cu 3.9117 4.8121 2.4745
Cu 6.1817 4.2064 9.4197
Al 6.0152 1.7972 4.7478
Cu 2.8424 6.5770 6.6062
Cu 1.4166 1.2176 3.9356
Cu 1.4172 2.3768 7.8930
Cu 6.9197 5.9713 7.8165
Cu 5.1112 5.9713 5.6366
Cu 2.1547 2.9826 2.3325
Cu 5.8493 4.2064 4.0334
Cu 3.1737 6.5770 4.0777
Cu 3.8608 0.6119 4.3941
Cu 2.1552 0.6119 6.2898
Al 4.5120 5.3917 8.0129
Cu 2.1043 4.8121 8.2093
Cu 4.5994 1.2176 6.7482
Cu 4.5988 2.3768 2.7909
Cu 6.0155 3.5945 6.7265
Al 7.5189 5.3917 5.4401

=====

Arrangement b

12
Lattice="2.7856 0.0000 0.0000 0.0000 8.3700 0.0000 0.0000 -4.1850 7.2487" Properties=species:S:1:pos:R:3 comment="PBE-GGA PmAl2Cu9, relaxed" density_g_cm3=7.57 pbc="T T T"
Cu 1.3928 1.8415 5.8957
Cu 1.3928 0.0000 2.7060
Cu 1.3928 2.3435 1.3530
Cu 1.3928 -1.8415 5.8957
Cu 0.0000 4.1850 0.0000
Al 0.0000 4.1850 2.4162
Cu 0.0000 -2.0925 3.6243
Cu 0.0000 2.0925 3.6243
Pm 0.0000 0.0000 0.0000
Al 0.0000 0.0000 4.8325
Cu 1.3928 6.0266 1.3530
Cu 1.3928 4.1850 4.5426

=====

The structure with the least stability is arrangement b.

=====

Arrangement a

10
Lattice="-3.3061 2.0001 1.8285 -2.7006 -2.1927 -2.4845 -0.5402 -7.4017 7.1194" Properties=species:S:1:pos:R:3 comment="PBE-GGA Pm2Al5Cu3, relaxed" density_g_cm3=5.44 pbc="T T T"
Pm -1.7483 -6.5495 4.0029
Al -1.4358 -2.2670 -0.1162
Cu -1.5592 -3.9589 1.5111
Al -3.0034 -0.0963 -0.3280
Al -2.1078 -5.2310 6.9076
Al -3.2735 -3.7972 3.2317
Al 0.0000 0.0000 0.0000
Cu -0.2701 -3.7009 3.5597
Cu -1.9843 -3.5391 5.2803
Pm -1.7953 -0.9485 2.7885

=====

Arrangement b

20
Lattice="5.5788 0.0000 2.1106 2.3914 7.8223 2.1073 -0.0068 -0.0953 8.4462" Properties=species:S:1:pos:R:3 comment="PBE-GGA Pm2Al5Cu3, relaxed" density_g_cm3=5.54 pbc="T T T"
Cu 3.2780 3.8578 8.1922
Al 3.3968 1.9046 3.6641
Cu 4.1841 0.0000 1.5830
Pm 4.1484 6.8010 5.8914
Al 2.5870 3.8635 5.8044
Cu 4.6855 3.8691 4.4719
Al 4.5667 5.8223 9.0000
Al 7.3561 5.8223 10.0553
Al 7.2742 7.5309 6.0576
Al 5.3764 3.8635 6.8597
Al 2.7771 1.8930 9.5161
Pm 2.1936 4.7820 2.6301
Pm 3.8150 0.9260 6.7726
Al 5.1863 5.8339 3.1480
Al 0.6074 1.9046 2.6087
Cu 6.6646 5.8294 7.6690
Cu 1.2989 1.8976 4.9950
Cu 1.3947 0.0000 0.5277
Al 0.6892 0.1960 6.6065
Pm 5.7698 2.9449 10.0340

=====

The structure with the least stability is arrangement a.

=====

Arrangement a

10
Lattice="5.6581 0.1424 0.1597 2.6840 4.9830 0.1597 1.4327 0.8802 7.7467" Properties=species:S:1:pos:R:3 comment="PBE-GGA Pm2AlCu2, relaxed" density_g_cm3=6.89 pbc="T T T"
Pm 6.2162 4.7571 6.7722
Cu 4.8589 0.5465 3.9832
Pm 3.4382 3.0503 5.1673
Al 3.4760 4.4970 2.0964
Cu 6.3752 1.4781 0.2097
Al 6.2987 1.5087 5.9697
Pm 3.5585 1.2486 1.2939
Cu 3.3995 4.5277 7.8565
Cu 4.9158 5.4593 4.0830
Pm 6.3365 2.9554 2.8989

=====

Arrangement b

5
Lattice="3.8831 0.0000 1.7407 1.1158 4.8796 2.7124 -0.2152 0.2907 5.6817" Properties=species:S:1:pos:R:3 comment="PBE-GGA Pm2AlCu2, relaxed" density_g_cm3=6.89 pbc="T T T"
Pm 3.7451 3.6051 7.2503
Pm 1.0387 1.5651 2.8845
Al 0.0000 0.0000 0.0000
Cu 2.0733 1.4868 5.7781
Cu 2.7104 3.6835 4.3567

=====

The structure with the least stability is arrangement a.

=====

Arrangement a

12
Lattice="4.9892 0.0000 0.0000 2.4946 4.3207 0.0000 2.4946 1.4402 8.0163" Properties=species:S:1:pos:R:3 comment="PBE-GGA PrAl2Cu9, relaxed" density_g_cm3=7.37 pbc="T T T"
Pr 0.0000 0.0000 0.0000
Al 2.4946 1.4402 4.5233
Cu 3.7168 3.6151 5.9081
Cu 3.7168 2.1459 2.1082
Cu 4.9892 2.8805 7.9988
Cu 6.2615 2.1459 2.1082
Cu 4.9892 4.3497 2.1082
Cu 4.9892 1.4113 5.9081
Cu 4.9892 2.8805 0.0175
Cu 4.9892 2.8805 4.0082
Al 7.4837 4.3207 3.4930
Cu 6.2615 3.6151 5.9081

=====

Arrangement b

24
Lattice="6.0327 0.0000 2.7774 3.0164 7.2148 1.3887 -0.0008 0.0000 7.9423" Properties=species:S:1:pos:R:3 comment="PBE-GGA PrAl2Cu9, relaxed" density_g_cm3=7.37 pbc="T T T"
Cu 2.1545 2.9949 2.3330
Cu 2.1541 0.6125 6.3041
Cu 5.8757 4.2199 4.0462
Cu 1.4111 2.3892 7.9180
Cu 2.1159 4.8256 8.2425
Pr 3.0160 3.6074 5.3598
Cu 6.9319 5.9966 7.8370
Cu 3.8778 0.6125 4.4155
Al 6.0321 1.8037 8.7341
Al 4.5239 5.4111 8.0398
Pr 3.0164 0.0000 1.3887
Al 6.0325 1.8037 4.7629
Cu 4.6208 2.3892 2.8016
Cu 3.9160 4.8256 2.4771
Cu 5.1327 5.9966 5.6601
Cu 4.6204 1.2182 6.7728
Cu 6.1889 4.2199 9.4509
Cu 3.8774 2.9949 8.3867
Al 7.5407 5.4111 5.4573
Cu 3.1730 6.6023 4.0910
Cu 0.0000 0.0000 0.0000
Cu 2.8590 6.6023 6.6286
Cu 6.0323 3.6074 6.7485
Cu 1.4115 1.2182 3.9469

=====

The structure with the least stability is arrangement a.

=====

Arrangement a

12
Lattice="-3.0036 2.8515 -0.4564 -3.6133 -3.9178 -0.6986 -1.5553 -0.1848 9.0805" Properties=species:S:1:pos:R:3 comment="PBE-GGA Pr2Al5Cu5, relaxed" density_g_cm3=5.91 pbc="T T T"
Al -4.5894 -1.5620 1.4245
Al -5.3988 -1.6581 6.1499
Cu -1.5018 1.4258 -0.2282
Cu -2.8445 -2.0822 5.7102
Pr -1.8066 -1.9589 -0.3493
Cu -1.2981 -0.1542 7.5786
Al -4.0861 -0.6255 3.9627
Cu -2.3241 -2.0204 2.6717
Cu -0.2572 -0.0306 1.5019
Al -2.7734 0.4071 1.7756
Al -3.5828 0.3109 6.5010
Pr -0.7777 -0.0924 4.5403

=====

Arrangement b

12
Lattice="-0.0594 -3.3350 2.3414 5.1290 -0.7879 -0.9922 2.3012 5.3357 7.6586" Properties=species:S:1:pos:R:3 comment="PBE-GGA Pr2Al5Cu5, relaxed" density_g_cm3=5.89 pbc="T T T"
Al 1.8735 4.3441 6.2353
Cu 3.6854 0.6064 4.5039
Pr 1.1506 2.6679 3.8293
Al 4.1063 3.1810 4.6353
Cu 5.5316 1.7538 6.1851
Cu 4.3740 -0.9305 2.3323
Al -0.0297 -1.6675 1.1707
Cu 2.9968 2.1432 6.6755
Al 3.3238 1.3668 2.0311
Al 0.4276 0.9916 1.4233
Pr 2.5645 -0.3939 -0.4961
Cu 1.8391 -0.5411 2.8226

=====

The structure with the least stability is arrangement b.

=====

Arrangement a

10
Lattice="-4.5421 -0.4425 -0.5279 0.6064 -6.4440 0.1839 -0.7666 0.1133 6.5009" Properties=species:S:1:pos:R:3 comment="PBE-GGA PrAlCu3, relaxed" density_g_cm3=6.11 pbc="T T T"
Cu -1.9678 -3.4433 -0.1720
Cu 0.2631 -4.8041 1.7636
Cu -0.4232 -1.5266 4.9211
Al 0.3032 -3.2220 0.0919
Pr -2.2710 -0.2213 -0.2640
Cu -2.6543 -0.1646 2.9865
Al -0.3833 0.0567 3.2504
Cu -0.0400 -1.5821 1.6706
Cu -0.1201 -4.7486 5.0141
Pr -2.3511 -3.3866 3.0784

=====

Arrangement b

10
Lattice="0.3672 -3.6108 -3.5509 6.2154 -3.6015 4.3049 -6.1983 1.1794 1.7900" Properties=species:S:1:pos:R:3 comment="PBE-GGA PrAlCu3, relaxed" density_g_cm3=6.42 pbc="T T T"
Cu 4.8289 -5.4994 0.6460
Cu 2.6761 -3.6063 3.9438
Cu -4.2610 -2.3388 0.1225
Pr 1.5424 -4.6483 1.2559
Pr -1.1581 -1.3845 1.2881
Cu -4.4446 -0.5335 1.8979
Al 3.1077 -1.8007 2.1525
Cu 4.6453 -3.6940 2.4215
Cu -2.2919 -2.4266 -1.3998
Al 0.1836 -1.8054 -1.7755

=====

The structure with the least stability is arrangement a.